Below is a geometry-optimized CuAs2Rh structure, with properties calculated at the PBE-GGA level.

Results
The calculation puts the calculated formation energy at -19 meV/atom. The value obtained for the spin magnetization is 0.00 μB per formula unit. The total energy is -5.2055 eV/atom. The space-group type is No. 10.

Lattice parameters (Å, degrees): 3.2113 3.2076 6.8236 62.10 90.00 90.00
Closest atoms and distances in Å follow each position.
Positions (direct):
Cu 0.5000 0.2500 0.2500  8 As 2.75-2.76, 2 Rh 3.02
Rh 0.5000 0.7500 0.7500  8 As 2.70, 2 Cu 3.02
As 0.0000 0.4906 0.5085  4 Rh 2.70, 4 Cu 2.75-2.76, 1 As 2.91
As 0.0000 0.0094 0.9915  4 Rh 2.70, 4 Cu 2.75-2.76, 1 As 2.91